Entry 1:
Density functional theory data (GGA-PBE) for a relaxed SbPd3S crystal.

The structure in extended XYZ format:
```
10
Lattice="4.214 0.000 0.000 0.000 6.130 0.000 -2.107 0.000 6.791" Properties=species:S:1:pos:R:3 pbc="T T T"
Sb 2.107 5.924 5.547
Sb 0.000 2.859 1.244
Pd 2.107 2.581 5.294
Pd 0.000 5.646 1.497
Pd 2.107 1.173 0.154
Pd 0.000 4.238 6.637
Pd 2.107 4.069 2.738
Pd 0.000 1.004 4.053
S 0.000 3.382 4.365
S 2.107 0.317 2.426
```

Summary:
* formation energy from raw total energies: -234 meV/atom
* total moment: 0.0 μB per cell
* N(E_F): 3.5 states/eV/cell
* polymorph energy (0 for the lowest one): 0 meV/atom

---

Entry 2:
Density functional theory data (GGA-PBE) for a relaxed Ag2TeO3 crystal.

The structure in extended XYZ format:
```
12
Lattice="0.068 6.268 1.794 -5.160 0.936 -2.971 -5.626 -0.512 2.103" Properties=species:S:1:pos:R:3 pbc="T T T"
Ag -3.668 3.287 0.600
Ag -3.703 0.152 -0.295
Ag -7.015 6.540 1.221
Ag -7.050 3.405 0.326
Te -5.565 4.218 3.348
Te -5.153 2.474 -2.422
O -5.449 1.553 0.808
O -5.269 5.140 0.118
O -9.368 0.375 -0.751
O -1.385 3.183 0.782
O -9.333 3.510 0.144
O -1.350 6.317 1.677
```

Summary:
* formation energy from raw total energies: -484 meV/atom
* total moment: 0.0 μB per cell
* polymorph energy (0 for the lowest one): 69 meV/atom

---

Entry 3:
Density functional theory data (GGA-PBE) for a relaxed Ce5PuTl2 crystal.

The structure in extended XYZ format:
```
8
Lattice="-1.091 -2.204 6.653 3.222 -6.137 -1.505 2.954 5.972 -1.318" Properties=species:S:1:pos:R:3 pbc="T T T"
Ce -0.023 -3.176 4.637
Ce 0.529 -2.061 1.273
Ce 1.606 -6.279 3.876
Ce 2.158 -5.164 0.512
Ce 3.175 -3.225 3.233
Pu 0.209 0.095 0.066
Tl 3.571 -2.190 -0.140
Tl 1.415 -0.224 3.939
```

Summary:
* total moment: 0.0 μB per cell
* N(E_F): 16.7 states/eV/cell
* E_form: -0.079 eV/atom
* polymorph energy (0 for the lowest one): 35 meV/atom

---

Entry 4:
Density functional theory data (GGA-PBE) for a relaxed ZrBe2Cl crystal.

The structure in extended XYZ format:
```
4
Lattice="-0.212 -0.058 -3.767 1.790 -3.322 -0.049 -3.609 -1.948 0.233" Properties=species:S:1:pos:R:3 pbc="T T T"
Be 0.000 0.000 0.000
Be 0.789 -1.690 -1.908
Zr -0.910 -2.635 0.092
Cl -1.910 -1.003 -1.767
```

Summary:
* formation energy from raw total energies: 334 meV/atom
* total moment: 0.0 μB per cell
* N(E_F): 2.8 states/eV/cell
* polymorph energy (0 for the lowest one): 606 meV/atom

---

Entry 5:
Density functional theory data (GGA-PBE) for a relaxed Sc3SnN crystal.

The structure in extended XYZ format:
```
5
Lattice="5.102 0.000 1.751 -2.551 4.419 1.751 -2.551 -4.419 1.751" Properties=species:S:1:pos:R:3 pbc="T T T"
Sc 1.607 -2.784 2.647
Sc -3.214 0.000 2.647
Sc 1.607 2.784 2.647
Sn 0.000 0.000 2.030
N 0.000 0.000 5.126
```

Summary:
* formation energy from raw total energies: -335 meV/atom
* total moment: 0.0 μB per cell
* N(E_F): 5.0 states/eV/cell

---

Entry 6:
Density functional theory data (GGA-PBE) for a relaxed Pr4Nd2O crystal.

The structure in extended XYZ format:
```
7
Lattice="5.018 0.000 0.000 0.000 5.018 0.000 -2.509 -2.509 9.035" Properties=species:S:1:pos:R:3 pbc="T T T"
Pr 2.509 2.509 6.546
Pr 0.000 0.000 2.488
Pr 0.000 2.509 0.000
Pr 2.509 0.000 0.000
Nd 2.509 2.509 2.921
Nd 0.000 0.000 6.113
O 0.000 0.000 0.000
```

Summary:
* formation energy from raw total energies: -614 meV/atom
* total moment: 0.0 μB per cell
* N(E_F): 9.3 states/eV/cell

---

Entry 7:
Density functional theory data (GGA-PBE) for a relaxed Pm6Tl5Hg crystal.

The structure in extended XYZ format:
```
12
Lattice="5.214 -0.031 1.738 0.041 7.696 0.014 0.004 -0.015 8.679" Properties=species:S:1:pos:R:3 pbc="T T T"
Tl 3.501 3.817 6.946
Tl 1.749 -0.015 3.444
Tl 0.021 3.848 0.007
Tl 3.469 -0.031 6.973
Tl 1.758 3.833 3.484
Hg 0.000 0.000 0.000
Pm 4.383 5.756 4.334
Pm 4.362 1.878 4.327
Pm 2.617 1.885 0.872
Pm 2.638 5.780 0.879
Pm 0.897 5.771 6.104
Pm 0.876 1.894 6.097
```

Summary:
* total moment: 0.0 μB per cell
* N(E_F): 13.1 states/eV/cell
* E_form: -0.403 eV/atom
* polymorph energy (0 for the lowest one): 0 meV/atom

---

Entry 8:
Density functional theory data (GGA-PBE) for a relaxed Ti2SbPd6 crystal.

The structure in extended XYZ format:
```
9
Lattice="-2.131 -1.041 -1.753 5.021 -4.243 -3.582 -2.620 -2.491 7.101" Properties=species:S:1:pos:R:3 pbc="T T T"
Ti 1.056 -4.354 -1.185
Ti -0.786 -3.421 2.950
Sb 0.000 0.000 0.000
Pd 0.599 -2.571 0.788
Pd -3.362 -2.641 3.142
Pd -0.329 -5.204 0.978
Pd 0.530 -1.869 -2.015
Pd 3.632 -5.135 -1.377
Pd 2.360 -3.415 -3.320
```

Summary:
* formation energy from raw total energies: -387 meV/atom
* total moment: 0.0 μB per cell
* N(E_F): 6.6 states/eV/cell

---

Entry 9:
Density functional theory data (GGA-PBE) for a relaxed Cd5Ga2Hg2 crystal.

The structure in extended XYZ format:
```
18
Lattice="6.881 0.000 -2.188 -0.644 6.252 -2.025 -0.443 -0.127 10.518" Properties=species:S:1:pos:R:3 pbc="T T T"
Cd 5.301 5.564 -1.859
Cd 0.098 4.386 6.926
Cd 5.241 2.438 -0.726
Cd 0.802 1.260 7.817
Cd 3.915 4.352 5.653
Cd 1.488 5.572 -0.577
Cd 3.832 1.226 6.793
Cd 2.214 2.446 0.307
Cd 0.266 0.607 4.865
Cd 5.712 3.734 2.018
Ga 5.187 2.048 4.378
Ga 0.589 4.250 1.871
Ga 1.413 5.174 4.464
Ga 4.363 1.124 1.786
Hg -0.061 0.597 -0.193
Hg 3.057 3.723 -2.300
Hg 3.349 5.479 2.147
Hg 2.269 2.353 3.606
```

Summary:
* total moment: 0.0 μB per cell
* N(E_F): 6.0 states/eV/cell
* E_form: 0.049 eV/atom
* polymorph energy (0 for the lowest one): 0 meV/atom

---

Entry 10:
Density functional theory data (GGA-PBE) for a relaxed Ho2InPb5 crystal.

The structure in extended XYZ format:
```
16
Lattice="4.883 0.000 0.000 0.000 6.793 0.000 0.000 0.000 13.619" Properties=species:S:1:pos:R:3 pbc="T T T"
Ho 2.441 1.773 5.076
Ho 2.441 5.020 8.543
Ho 2.441 1.623 11.885
Ho 2.441 5.169 1.733
In 0.000 0.000 6.809
In 0.000 3.396 0.000
Pb 2.441 1.774 1.656
Pb 2.441 5.019 11.963
Pb 2.441 5.170 5.153
Pb 2.441 1.623 8.465
Pb 0.000 6.728 10.173
Pb 0.000 0.065 3.446
Pb 0.000 3.332 10.255
Pb 0.000 3.461 3.363
Pb 0.000 3.396 6.809
Pb 0.000 0.000 0.000
```

Summary:
* total moment: 0.0 μB per cell
* N(E_F): 8.3 states/eV/cell
* E_form: -0.280 eV/atom

---

Entry 11:
Density functional theory data (GGA-PBE) for a relaxed Be2MoRu crystal.

The structure in extended XYZ format:
```
4
Lattice="3.117 0.000 0.000 0.000 4.142 0.000 0.000 0.000 3.741" Properties=species:S:1:pos:R:3 pbc="T T T"
Ru 0.000 2.071 1.870
Mo 1.559 0.000 1.870
Be 0.000 0.000 0.000
Be 1.559 2.071 0.000
```

Summary:
* total moment: 0.0 μB per cell
* N(E_F): 2.2 states/eV/cell
* E_form: 0.080 eV/atom
* polymorph energy (0 for the lowest one): 272 meV/atom

---

Entry 12:
Density functional theory data (GGA-PBE) for a relaxed CaOsBr2 crystal.

The structure in extended XYZ format:
```
4
Lattice="7.043 0.144 -0.001 4.299 5.581 0.001 -5.353 -3.493 2.962" Properties=species:S:1:pos:R:3 pbc="T T T"
Ca 3.681 -0.244 1.481
Os 2.309 2.475 1.481
Br 1.296 0.654 0.000
Br 4.375 2.208 0.000
```

Summary:
* formation energy from raw total energies: -231 meV/atom
* total moment: 0.0 μB per cell
* N(E_F): 0.5 states/eV/cell
* polymorph energy (0 for the lowest one): 0 meV/atom

---

Entry 13:
Density functional theory data (GGA-PBE) for a relaxed La3Sm3Y5 crystal.

The structure in extended XYZ format:
```
11
Lattice="-2.670 4.548 0.895 -7.163 -3.057 -5.837 -0.273 -2.032 9.515" Properties=species:S:1:pos:R:3 pbc="T T T"
La -6.089 -0.979 2.798
La -1.434 1.541 3.881
La -3.920 1.171 -1.659
Sm -3.634 -2.487 1.797
Sm -3.663 -1.563 -2.985
Sm -0.140 -1.039 4.866
Y -3.905 -0.100 4.845
Y -6.202 -0.441 -0.273
Y -3.339 0.903 1.438
Y -1.535 0.790 7.398
Y -6.568 0.041 -3.817
```

Summary:
* total moment: 0.0 μB per cell
* N(E_F): 15.6 states/eV/cell
* E_form: 0.748 eV/atom
* polymorph energy (0 for the lowest one): 32 meV/atom

---

Entry 14:
Density functional theory data (GGA-PBE) for a relaxed Er3AlSi6Ni2 crystal.

The structure in extended XYZ format:
```
12
Lattice="5.511 0.000 0.000 -2.756 4.773 0.000 0.000 0.000 8.305" Properties=species:S:1:pos:R:3 pbc="T T T"
Er 0.000 3.182 4.924
Er 2.756 1.591 3.382
Er 0.000 0.000 0.000
Al 0.000 0.000 4.153
Si 1.231 3.893 2.257
Si 0.000 1.760 2.257
Si -1.231 3.893 2.257
Si 2.756 3.013 6.048
Si 1.524 0.880 6.048
Si 3.987 0.880 6.048
Ni 2.756 1.591 7.879
Ni 0.000 3.182 0.426
```

Summary:
* formation energy from raw total energies: -281 meV/atom
* total moment: 0.0 μB per cell
* N(E_F): 3.9 states/eV/cell

---

Entry 15:
Density functional theory data (GGA-PBE) for a relaxed Tb4SmDy4 crystal.

The structure in extended XYZ format:
```
9
Lattice="5.024 0.000 0.000 2.512 7.555 0.000 2.512 0.000 7.555" Properties=species:S:1:pos:R:3 pbc="T T T"
Tb 5.024 5.029 0.000
Tb 5.024 2.526 7.555
Tb 7.536 7.555 5.029
Tb 2.512 0.000 2.526
Sm 0.000 0.000 0.000
Dy 5.024 2.524 2.524
Dy 5.024 5.031 5.031
Dy 7.536 5.031 2.524
Dy 2.512 2.524 5.031
```

Summary:
* total moment: 0.0 μB per cell
* N(E_F): 12.9 states/eV/cell
* E_form: 0.017 eV/atom
* polymorph energy (0 for the lowest one): 0 meV/atom

---

Entry 16:
Density functional theory data (GGA-PBE) for a relaxed CaNd2PuN4 crystal.

The structure in extended XYZ format:
```
8
Lattice="3.598 0.000 0.000 0.000 6.110 0.153 0.000 -2.094 5.755" Properties=species:S:1:pos:R:3 pbc="T T T"
Ca 1.799 3.055 0.077
Nd 1.799 -1.047 2.878
Nd 0.000 2.008 2.954
Pu 0.000 0.000 0.000
N 1.799 0.952 1.410
N 1.799 3.064 4.498
N 0.000 -0.257 4.467
N 0.000 4.273 1.441
```

Summary:
* formation energy from raw total energies: -1221 meV/atom
* total moment: 3.9 μB per cell
* N(E_F): 5.5 states/eV/cell

---

Entry 17:
Density functional theory data (GGA-PBE) for a relaxed CaMoCl2 crystal.

The structure in extended XYZ format:
```
4
Lattice="1.898 0.000 8.750 -0.949 1.644 8.750 -0.949 -1.644 8.750" Properties=species:S:1:pos:R:3 pbc="T T T"
Mo 0.000 0.000 0.000
Ca 0.000 0.000 13.125
Cl 0.000 0.000 23.811
Cl 0.000 0.000 2.438
```

Summary:
* formation energy from raw total energies: -354 meV/atom
* total moment: 0.4 μB per cell
* N(E_F): 3.8 states/eV/cell
* polymorph energy (0 for the lowest one): 199 meV/atom

---

Entry 18:
Density functional theory data (GGA-PBE) for a relaxed NaTmInSn crystal.

The structure in extended XYZ format:
```
4
Lattice="5.279 0.000 0.000 2.639 4.571 0.000 2.639 1.524 4.310" Properties=species:S:1:pos:R:3 pbc="T T T"
Na 0.000 0.000 0.000
Tm 5.279 3.048 2.155
Sn 2.639 1.524 1.077
In 7.918 4.571 3.232
```

Summary:
* total moment: 0.0 μB per cell
* N(E_F): 2.7 states/eV/cell
* E_form: -0.277 eV/atom

---

Entry 19:
Density functional theory data (GGA-PBE) for a relaxed OsRu3C crystal.

The structure in extended XYZ format:
```
5
Lattice="4.013 0.000 0.000 0.000 4.013 0.000 0.000 0.000 4.013" Properties=species:S:1:pos:R:3 pbc="T T T"
Ru 0.000 2.006 0.000
Ru 0.000 0.000 2.006
Ru 2.006 0.000 0.000
C 0.000 0.000 0.000
Os 2.006 2.006 2.006
```

Summary:
* total moment: 0.0 μB per cell
* N(E_F): 7.2 states/eV/cell
* E_form: 0.503 eV/atom

---

Entry 20:
Density functional theory data (GGA-PBE) for a relaxed Pr5Al4Ag2Ge4 crystal.

The structure in extended XYZ format:
```
15
Lattice="19.248 0.007 0.000 -18.756 4.325 0.000 0.000 0.000 4.232" Properties=species:S:1:pos:R:3 pbc="T T T"
Pr 19.047 0.030 0.000
Pr 4.168 1.720 0.000
Pr -11.020 3.446 0.000
Pr 11.677 0.867 0.000
Pr -3.641 2.608 0.000
Ge -13.654 3.745 2.116
Ge 9.217 1.147 2.116
Ge -6.086 2.886 2.116
Ge 16.616 0.306 2.116
Al -8.574 3.168 2.116
Al 14.139 0.587 2.116
Al -1.101 2.319 2.116
Al 1.486 2.025 2.116
Ag -16.237 4.039 2.116
Ag 6.676 1.435 2.116
```

Summary:
* total moment: 0.0 μB per cell
* N(E_F): 7.7 states/eV/cell
* E_form: -0.590 eV/atom